a.
# Ti3TlSn

Crystalline Ti3TlSn at its relaxed geometry (GGA-PBE, Alexandria via LeMat-Bulk).

Output
* SG: P2/m

a = 3.0468 Å, b = 8.9183 Å, c = 9.8882 Å
α = 128.00°, β = 90.00°, γ = 90.00°
Element x y z (fractional)
1 Ti 0.5000 0.6883 0.6453
2 Ti 0.5000 0.3361 0.6378
3 Ti 0.5000 0.5000 0.0000
4 Ti 0.5000 0.6639 0.3622
5 Ti 0.5000 0.0000 0.0000
6 Ti 0.5000 0.3117 0.3547
7 Sn 0.0000 0.6740 0.8882
8 Sn 0.0000 0.3260 0.1118
9 Tl 0.5000 0.9447 0.2945
10 Tl 0.5000 0.0553 0.7055

b.
# Ti3TlSn

Crystalline Ti3TlSn at its relaxed geometry (GGA-PBE, Alexandria via LeMat-Bulk).

Output
* SG: Pm-3m

a = 5.0367 Å, b = 5.0367 Å, c = 5.0367 Å
α = 90.00°, β = 90.00°, γ = 90.00°
Element x y z (fractional)
1 Ti 0.0000 0.5000 0.0000
2 Ti 0.5000 0.0000 0.0000
3 Ti 0.0000 0.0000 0.5000
4 Tl 0.5000 0.5000 0.5000
5 Sn 0.0000 0.0000 0.0000

Which structure is the most stable? The one labeled a.

a.
# Ti4TlSn

Crystalline Ti4TlSn at its relaxed geometry (GGA-PBE, Alexandria via LeMat-Bulk).

Output
* SG: Pbam

a = 2.9465 Å, b = 8.1123 Å, c = 18.8291 Å
α = 90.00°, β = 90.00°, γ = 90.00°
Element x y z (fractional)
1 Sn 0.0000 0.1041 0.1852
2 Sn 0.0000 0.3959 0.6852
3 Sn 0.0000 0.8959 0.8148
4 Sn 0.0000 0.6041 0.3148
5 Ti 0.5000 0.5709 0.5612
6 Ti 0.5000 0.9291 0.0612
7 Ti 0.5000 0.7271 0.6924
8 Ti 0.5000 0.2339 0.5606
9 Ti 0.5000 0.4291 0.4388
10 Ti 0.5000 0.7729 0.1924
11 Ti 0.5000 0.0631 0.6887
12 Ti 0.5000 0.9369 0.3113
13 Ti 0.5000 0.0709 0.9388
14 Ti 0.5000 0.7661 0.4394
15 Ti 0.5000 0.5631 0.8113
16 Ti 0.5000 0.2271 0.8076
17 Ti 0.5000 0.2729 0.3076
18 Ti 0.5000 0.7339 0.9394
19 Ti 0.5000 0.2661 0.0606
20 Ti 0.5000 0.4369 0.1887
21 Tl 0.0000 0.3943 0.9290
22 Tl 0.0000 0.1057 0.4290
23 Tl 0.0000 0.8943 0.5710
24 Tl 0.0000 0.6057 0.0710

b.
# Ti4TlSn

Crystalline Ti4TlSn at its relaxed geometry (GGA-PBE, Alexandria via LeMat-Bulk).

Output
* SG: C2/c

a = 4.7047 Å, b = 7.4932 Å, c = 8.6555 Å
α = 105.22°, β = 90.03°, γ = 128.81°
Element x y z (fractional)
1 Ti 0.9631 0.2132 0.9169
2 Ti 0.2903 0.5403 0.5832
3 Ti 0.5462 0.2963 0.0831
4 Ti 0.2071 0.9571 0.4168
5 Ti 0.0369 0.7868 0.0831
6 Ti 0.7097 0.4597 0.4168
7 Ti 0.7929 0.0429 0.5832
8 Ti 0.4538 0.7037 0.9169
9 Tl 0.1256 0.8756 0.7512
10 Tl 0.8744 0.1244 0.2488
11 Sn 0.6243 0.3743 0.7486
12 Sn 0.3757 0.6257 0.2514

Which structure is the most stable? The one labeled a.

a.
# Ti2TlSn2

Crystalline Ti2TlSn2 at its relaxed geometry (GGA-PBE, Alexandria via LeMat-Bulk).

Output
* SG: P4/mbm

a = 7.3921 Å, b = 7.3921 Å, c = 3.9662 Å
α = 90.00°, β = 90.00°, γ = 90.00°
Element x y z (fractional)
1 Ti 0.6358 0.1358 0.0000
2 Ti 0.3642 0.8642 0.0000
3 Ti 0.1358 0.3642 0.0000
4 Ti 0.8642 0.6358 0.0000
5 Tl 0.5000 0.5000 0.0000
6 Tl 0.0000 0.0000 0.0000
7 Sn 0.8383 0.3383 0.5000
8 Sn 0.3383 0.1617 0.5000
9 Sn 0.6617 0.8383 0.5000
10 Sn 0.1617 0.6617 0.5000

b.
# Ti2TlSn2

Crystalline Ti2TlSn2 at its relaxed geometry (GGA-PBE, Alexandria via LeMat-Bulk).

Output
* SG: P4/mbm

a = 8.6284 Å, b = 8.6284 Å, c = 3.0490 Å
α = 90.00°, β = 90.00°, γ = 90.00°
Element x y z (fractional)
1 Sn 0.1704 0.3296 0.0000
2 Sn 0.6704 0.1704 0.0000
3 Sn 0.8296 0.6704 0.0000
4 Sn 0.3296 0.8296 0.0000
5 Ti 0.1189 0.6189 0.5000
6 Ti 0.6189 0.8811 0.5000
7 Ti 0.8811 0.3811 0.5000
8 Ti 0.3811 0.1189 0.5000
9 Tl 0.0000 0.0000 0.0000
10 Tl 0.5000 0.5000 0.0000

Which structure is the most stable? The one labeled a.